Material: NbAgO3
Method: DFT, PBE-GGA
State: optimized geometry

Properties
* mass density: 6.53 g cm⁻³
* formation energy (no corrections): -1.75 eV/atom
* total DFT energy (no corrections): -7.312 eV per atom

a = 5.621 Å, b = 5.621 Å, c = 8.006 Å
α = 90.00°, β = 90.00°, γ = 90.42°
Fractional coordinates of all 20 atoms:
Nb 0.000 0.500 0.000
Nb 0.000 0.500 0.500
Nb 0.500 0.000 0.000
Nb 0.500 0.000 0.500
Ag 0.003 0.997 0.750
Ag 0.495 0.505 0.250
Ag 0.505 0.495 0.750
Ag 0.997 0.003 0.250
O 0.040 0.526 0.250
O 0.204 0.204 0.000
O 0.204 0.204 0.500
O 0.294 0.706 0.532
O 0.294 0.706 0.968
O 0.474 0.960 0.250
O 0.526 0.040 0.750
O 0.706 0.294 0.032
O 0.706 0.294 0.468
O 0.796 0.796 0.000
O 0.796 0.796 0.500
O 0.960 0.474 0.750